Below is Lu3Nb3Mo2N12 after structural relaxation, with properties calculated at the PBE level.

The structure in CIF format:
```
data_Lu3Nb3Mo2N12
_chemical_formula_sum 'Lu24 Nb24 Mo16 N96'
_cell_length_a 12.671
_cell_length_b 12.671
_cell_length_c 12.671
_cell_angle_alpha 90.00
_cell_angle_beta 90.00
_cell_angle_gamma 90.00
_space_group_name_H-M_alt 'I a -3 d'
_space_group_IT_number 230
_space_group_name_Hall '-I 4bd 2c 3'
loop_
_atom_site_label
_atom_site_type_symbol
_atom_site_fract_x
_atom_site_fract_y
_atom_site_fract_z
Lu1 Lu 0.000 0.250 0.125
Nb1 Nb 0.000 0.250 0.375
Mo1 Mo 0.000 0.000 0.000
N1 N 0.028 0.058 0.647
```

The value obtained for the energy is -9.0514 eV per atom. For the volume, the calculation gives 12.72 Å³ per atom. For the magnetization, the calculation gives 0.0 μB/f.u.